1.
Computed, not measured: Li2CaCu2 after structural relaxation at the PBEsol level of DFT.

Unit cell a=3.9294 b=3.9294 c=6.5154 alpha=107.55 beta=107.55 gamma=90.00
Element x y z (fractional)
1 Li 0.7500 0.2500 0.5000
2 Ca 0.0000 0.0000 0.0000
3 Cu 0.6000 0.6000 0.2000
4 Cu 0.4000 0.4000 0.8000
5 Li 0.2500 0.7500 0.5000

Summary:
Space group: I4/mmm (139)
ΔH_f (0 K): 0.013 eV/atom
Magnetic moment: 0.00 Bohr magnetons per cell
Raw total energy: -14.671 eV for the cell shown



2.
Computed, not measured: ZrSb2TeW after structural relaxation at the PBEsol level of DFT.

Unit cell a=5.3628 b=5.4313 c=5.4313 alpha=90.00 beta=90.00 gamma=90.00
Element x y z (fractional)
1 Sb 0.0000 0.0000 0.5000
2 Sb 0.0000 0.5000 0.0000
3 Zr 0.0000 0.0000 0.0000
4 Te 0.5000 0.0000 0.0000
5 W 0.5000 0.5000 0.5000

Summary:
Space group: P4/mmm (123)
ΔE_f (raw): 1401.8 meV per atom
Magnetic moment: 4.05 Bohr magnetons per cell
Raw total energy: -28.529 eV for the cell shown



3.
Computed, not measured: AsRuCl2 after structural relaxation at the PBEsol level of DFT.

Unit cell a=3.1726 b=3.7184 c=7.8687 alpha=93.77 beta=90.00 gamma=115.25
Element x y z (fractional)
1 Cl 0.2201 0.4402 0.3385
2 As 0.8541 0.7081 0.6793
3 Cl 0.8856 0.7712 0.9540
4 Ru 0.5403 0.0805 0.5282

Summary:
Space group: Cm (8)
ΔE_f (raw): -310.5 meV per atom
Magnetic moment: 0.00 Bohr magnetons per cell
Raw total energy: -20.537 eV for the cell shown



4.
Computed, not measured: CsO2 after structural relaxation at the PBEsol level of DFT.

Unit cell a=4.3177 b=4.7103 c=4.3177 alpha=117.28 beta=90.00 gamma=117.28
Element x y z (fractional)
1 Cs 0.0000 0.0000 0.0000
2 O 0.5933 0.1866 0.5933
3 O 0.4067 0.8134 0.4067

Summary:
Space group: I4/mmm (139)
ΔE_f (raw): -861.7 meV per atom
Magnetic moment: 1.00 Bohr magnetons per cell
Raw total energy: -14.026 eV for the cell shown



5.
Computed, not measured: CsAs3W after structural relaxation at the PBEsol level of DFT.

Unit cell a=4.9771 b=4.9771 c=4.9771 alpha=90.00 beta=90.00 gamma=90.00
Element x y z (fractional)
1 Cs 0.5000 0.5000 0.5000
2 W 0.0000 0.0000 0.0000
3 As 0.0000 0.5000 0.0000
4 As 0.5000 0.0000 0.0000
5 As 0.0000 0.0000 0.5000

Summary:
Space group: Pm-3m (221)
ΔH_f (0 K): 0.128 eV/atom
Magnetic moment: 0.00 Bohr magnetons per cell
Raw total energy: -29.431 eV for the cell shown



6.
Computed, not measured: BaLiIn after structural relaxation at the PBEsol level of DFT.

Unit cell a=3.7102 b=5.3523 c=5.3523 alpha=120.00 beta=90.00 gamma=90.00
Element x y z (fractional)
1 Li 0.0000 0.6667 0.3333
2 Ba 0.5000 0.0000 0.0000
3 In 0.0000 0.3333 0.6667

Summary:
Space group: P-6m2 (187)
ΔH_f (0 K): -0.271 eV/atom
Magnetic moment: 0.00 Bohr magnetons per cell
Raw total energy: -7.912 eV for the cell shown



7.
Computed, not measured: CaY3 after structural relaxation at the PBEsol level of DFT.

Unit cell a=3.6077 b=3.6077 c=11.6391 alpha=90.00 beta=90.00 gamma=120.00
Element x y z (fractional)
1 Y 0.0000 0.0000 0.5000
2 Y 0.3333 0.6667 0.2635
3 Ca 0.0000 0.0000 0.0000
4 Y 0.3333 0.6667 0.7365

Summary:
Space group: P-6m2 (187)
ΔH_f (0 K): 0.053 eV/atom
Magnetic moment: 0.00 Bohr magnetons per cell
Raw total energy: -22.387 eV for the cell shown



8.
Computed, not measured: LiRe2NiOs after structural relaxation at the PBEsol level of DFT.

Unit cell a=3.7991 b=4.0625 c=4.0625 alpha=90.00 beta=90.00 gamma=90.00
Element x y z (fractional)
1 Re 0.0000 0.0000 0.5000
2 Re 0.0000 0.5000 0.0000
3 Os 0.5000 0.5000 0.5000
4 Ni 0.5000 0.0000 0.0000
5 Li 0.0000 0.0000 0.0000

Summary:
Space group: P4/mmm (123)
ΔH_f (0 K): 1.212 eV/atom
Magnetic moment: 0.00 Bohr magnetons per cell
Raw total energy: -40.942 eV for the cell shown



9.
Computed, not measured: Mn2TcTe after structural relaxation at the PBEsol level of DFT.

Unit cell a=4.2833 b=4.2833 c=4.2827 alpha=120.00 beta=120.00 gamma=90.00
Element x y z (fractional)
1 Tc 0.0000 0.0000 0.0000
2 Mn 0.7500 0.2500 0.5000
3 Mn 0.5000 0.5000 0.0000
4 Te 0.2500 0.7500 0.5000

Summary:
Space group: F-43m (216)
ΔE_f (raw): 250.5 meV per atom
Magnetic moment: 2.96 Bohr magnetons per cell
Raw total energy: -33.313 eV for the cell shown



10.
Computed, not measured: MgIrRh after structural relaxation at the PBEsol level of DFT.

Unit cell a=2.7541 b=2.7541 c=6.6281 alpha=90.00 beta=90.00 gamma=120.00
Element x y z (fractional)
1 Ir 0.0000 0.0000 0.0053
2 Rh 0.6667 0.3333 0.3302
3 Mg 0.3333 0.6667 0.6644

Summary:
Space group: P3m1 (156)
ΔH_f (0 K): -0.082 eV/atom
Magnetic moment: 0.00 Bohr magnetons per cell
Raw total energy: -19.926 eV for the cell shown



11.
Computed, not measured: Pr2S3O12 after structural relaxation at the PBEsol level of DFT.

Unit cell a=6.6807 b=6.9744 c=11.3054 alpha=105.90 beta=107.19 gamma=90.00
Element x y z (fractional)
1 S 0.1651 0.7500 0.0000
2 Pr 0.0111 0.8650 0.7365
3 S 0.4999 0.1824 0.3674
4 O 0.0888 0.8542 0.1117
5 S 0.8349 0.2500 0.0000
6 O 0.3564 0.3684 0.7042
7 O 0.6919 0.3919 0.9534
8 O 0.6567 0.6891 0.6928
9 S 0.1325 0.3176 0.6326
10 S 0.5001 0.8176 0.6326
11 O 0.9848 0.4999 0.3513
12 O 0.0152 0.5001 0.6487
13 O 0.3665 0.9999 0.3513
14 O 0.9772 0.6458 0.8883
15 Pr 0.2746 0.6350 0.2635
16 Pr 0.9889 0.1350 0.2635
17 O 0.6522 0.1316 0.2958
18 O 0.9639 0.8109 0.3072
19 O 0.0228 0.3542 0.1117
20 O 0.3478 0.8684 0.7042
21 O 0.0361 0.1891 0.6928
22 O 0.0998 0.2139 0.4967
23 O 0.3433 0.3109 0.3072
24 Pr 0.7254 0.3650 0.7365
25 O 0.3969 0.7139 0.4967
26 S 0.8675 0.6824 0.3674
27 O 0.6031 0.2861 0.5033
28 O 0.3081 0.6081 0.0466
29 O 0.6436 0.6316 0.2958
30 O 0.9112 0.1458 0.8883
31 O 0.2615 0.8919 0.9534
32 O 0.7385 0.1081 0.0466
33 O 0.9002 0.7861 0.5033
34 O 0.6335 0.0001 0.6487

Summary:
Space group: C2/c (15)
ΔE_f (raw): -2175.1 meV per atom
Magnetic moment: 0.00 Bohr magnetons per cell
Raw total energy: -246.980 eV for the cell shown



12.
Computed, not measured: CsPH3O3F after structural relaxation at the PBEsol level of DFT.

Unit cell a=4.8417 b=5.5439 c=18.3978 alpha=92.89 beta=90.00 gamma=90.00
Element x y z (fractional)
1 Cs 0.1598 0.7204 0.4173
2 O 0.9841 0.7370 0.6986
3 F 0.6914 0.7784 0.5213
4 H 0.4751 0.2583 0.4409
5 O 0.0159 0.2630 0.3014
6 O 0.8485 0.9313 0.8174
7 H 0.4221 0.1778 0.7500
8 P 0.2122 0.7985 0.1761
9 O 0.3485 0.0687 0.6826
10 H 0.5249 0.7417 0.5591
11 O 0.5159 0.7370 0.1986
12 O 0.8291 0.3185 0.9001
13 H 0.0779 0.1778 0.2500
14 O 0.1709 0.6815 0.0999
15 P 0.7122 0.2015 0.3239
16 P 0.2878 0.7985 0.6761
17 O 0.4841 0.2630 0.8014
18 H 0.0249 0.2583 0.9409
19 H 0.9596 0.3191 0.7745
20 Cs 0.6598 0.2796 0.0827
21 H 0.5779 0.8222 0.2500
22 H 0.4596 0.6809 0.7255
23 H 0.9221 0.8222 0.7500
24 O 0.3291 0.6815 0.5999
25 O 0.1515 0.0687 0.1826
26 H 0.0404 0.6809 0.2255
27 O 0.6709 0.3185 0.4001
28 Cs 0.8402 0.2796 0.5827
29 F 0.8086 0.7784 0.0213
30 H 0.9751 0.7417 0.0591
31 H 0.5404 0.3191 0.2745
32 F 0.3086 0.2216 0.4787
33 O 0.6515 0.9313 0.3174
34 P 0.7878 0.2015 0.8239
35 Cs 0.3402 0.7204 0.9173
36 F 0.1914 0.2216 0.9787

Summary:
Space group: P2_1/c (14)
Magnetic moment: 0.00 Bohr magnetons per cell
Raw total energy: -198.119 eV for the cell shown



13.
Computed, not measured: Hg2TePb after structural relaxation at the PBEsol level of DFT.

Unit cell a=4.3900 b=4.3840 c=7.4445 alpha=107.17 beta=90.09 gamma=119.92
Element x y z (fractional)
1 Hg 0.9938 0.9878 0.9818
2 Te 0.7494 0.4981 0.2470
3 Hg 0.2563 0.5129 0.7691
4 Pb 0.5006 0.0013 0.5021

Summary:
Space group: Cm (8)
ΔE_f (raw): -89.9 meV per atom
Magnetic moment: 0.00 Bohr magnetons per cell
Raw total energy: -9.018 eV for the cell shown



14.
Computed, not measured: Zn2TeBr after structural relaxation at the PBEsol level of DFT.

Unit cell a=4.9333 b=4.9333 c=4.9333 alpha=60.00 beta=60.00 gamma=60.00
Element x y z (fractional)
1 Te 0.5000 0.5000 0.5000
2 Zn 0.2500 0.2500 0.2500
3 Zn 0.7500 0.7500 0.7500
4 Br 0.0000 0.0000 0.0000

Summary:
Space group: Fm-3m (225)
ΔE_f (raw): 49.8 meV per atom
Magnetic moment: 0.00 Bohr magnetons per cell
Raw total energy: -8.361 eV for the cell shown



15.
Computed, not measured: CuSb2Pt after structural relaxation at the PBEsol level of DFT.

Unit cell a=3.0116 b=4.9767 c=5.8499 alpha=115.17 beta=104.92 gamma=90.00
Element x y z (fractional)
1 Pt 0.7645 0.2645 0.5289
2 Sb 0.0258 0.0258 0.0515
3 Cu 0.4824 0.4824 0.9649
4 Sb 0.2273 0.7273 0.4547

Summary:
Space group: Imm2 (44)
ΔE_f (raw): 110.5 meV per atom
Magnetic moment: 0.00 Bohr magnetons per cell
Raw total energy: -19.970 eV for the cell shown



16.
Computed, not measured: CdCoOs2 after structural relaxation at the PBEsol level of DFT.

Unit cell a=2.7324 b=4.6412 c=4.8212 alpha=99.52 beta=90.00 gamma=107.12
Element x y z (fractional)
1 Co 0.7399 0.4798 0.2397
2 Os 0.0049 0.0098 0.9817
3 Os 0.2592 0.5184 0.8012
4 Cd 0.4960 0.9921 0.4774

Summary:
Space group: Cm (8)
ΔH_f (0 K): 0.504 eV/atom
Magnetic moment: 1.23 Bohr magnetons per cell
Raw total energy: -31.348 eV for the cell shown



17.
Computed, not measured: Sc2AgP after structural relaxation at the PBEsol level of DFT.

Unit cell a=4.3950 b=4.7763 c=4.3950 alpha=62.61 beta=90.00 gamma=117.39
Element x y z (fractional)
1 Sc 0.7500 0.5000 0.7500
2 Sc 0.2500 0.5000 0.2500
3 Ag 0.5000 0.0000 0.5000
4 P 0.0000 0.0000 0.0000

Summary:
Space group: I4/mmm (139)
ΔH_f (0 K): -0.593 eV/atom
Magnetic moment: 0.00 Bohr magnetons per cell
Raw total energy: -24.683 eV for the cell shown



18.
Computed, not measured: Cs2ErCuCl6 after structural relaxation at the PBEsol level of DFT.

Unit cell a=7.2176 b=7.2176 c=7.2176 alpha=60.00 beta=60.00 gamma=60.00
Element x y z (fractional)
1 Er 0.0000 0.0000 0.0000
2 Cl 0.7461 0.7461 0.2539
3 Cl 0.2539 0.7461 0.7461
4 Cu 0.5000 0.5000 0.5000
5 Cs 0.2500 0.2500 0.2500
6 Cl 0.7461 0.2539 0.7461
7 Cl 0.2539 0.7461 0.2539
8 Cs 0.7500 0.7500 0.7500
9 Cl 0.2539 0.2539 0.7461
10 Cl 0.7461 0.2539 0.2539

Summary:
Space group: Fm-3m (225)
ΔE_f (raw): -1810.6 meV per atom
Magnetic moment: 0.06 Bohr magnetons per cell
Raw total energy: -41.300 eV for the cell shown



19.
Computed, not measured: HfBeCuTe2 after structural relaxation at the PBEsol level of DFT.

Unit cell a=3.9512 b=4.9723 c=4.9723 alpha=90.00 beta=90.00 gamma=90.00
Element x y z (fractional)
1 Te 0.0000 0.0000 0.5000
2 Te 0.0000 0.5000 0.0000
3 Cu 0.5000 0.0000 0.0000
4 Be 0.0000 0.0000 0.0000
5 Hf 0.5000 0.5000 0.5000

Summary:
Space group: P4/mmm (123)
ΔE_f (raw): 347.0 meV per atom
Magnetic moment: 0.00 Bohr magnetons per cell
Raw total energy: -24.154 eV for the cell shown



20.
Computed, not measured: AlCrSe2 after structural relaxation at the PBEsol level of DFT.

Unit cell a=4.5982 b=4.5982 c=4.5982 alpha=60.00 beta=60.00 gamma=60.00
Element x y z (fractional)
1 Cr 0.5000 0.5000 0.5000
2 Al 0.0000 0.0000 0.0000
3 Se 0.2500 0.2500 0.2500
4 Se 0.7500 0.7500 0.7500

Summary:
Space group: Fm-3m (225)
ΔE_f (raw): 72.0 meV per atom
Magnetic moment: 3.33 Bohr magnetons per cell
Raw total energy: -21.746 eV for the cell shown